[1]
VASP calculation (PBEsol) on a relaxed structure of BeOs2Se.

POSCAR file:
```
BeOs2Se
1.0
-0.723 2.687 -0.571
-2.454 -0.897 -1.114
-3.342 0.568 6.907
Be Os Se
1 2 1
direct
0.500 0.500 0.838 Be
0.000 0.000 0.993 Os
0.500 0.500 0.230 Os
0.000 0.000 0.439 Se
```

## Properties
Its size of the total moment is 0.000 μB/atom. For the energy, the calculation gives -7.77 eV/atom. The distance to the lowest polymorph of the same formula is 0.0 meV per atom. Its density is 12.53 g/cm³. Its space-group type is No. 99. The value obtained for the uncorrected formation energy is 0.303 eV per atom.

---

[2]
VASP calculation (PBEsol) on a relaxed structure of BeOs2Se.

POSCAR file:
```
BeOs2Se
1.0
2.960 0.000 0.000
0.000 4.156 0.000
0.000 0.000 4.156
Se Be Os
1 1 2
direct
0.500 0.500 0.500 Se
0.500 0.000 0.000 Be
0.000 0.500 0.000 Os
0.000 0.000 0.500 Os
```

## Properties
Its size of the total moment is 0.000 μB/atom. For the energy, the calculation gives -7.64 eV/atom. The distance to the lowest polymorph of the same formula is 126.4 meV per atom. Its density is 15.22 g/cm³. Its space-group type is No. 123. The value obtained for the uncorrected formation energy is 0.430 eV per atom.

---

[3]
VASP calculation (PBEsol) on a relaxed structure of BeSi2Os.

POSCAR file:
```
BeSi2Os
1.0
2.777 0.010 0.000
-1.374 2.414 0.000
0.000 0.000 7.756
Be Si Os
1 2 1
direct
0.500 0.500 0.500 Be
0.000 0.000 0.742 Si
0.000 0.000 0.258 Si
0.500 0.500 0.000 Os
```

## Properties
Its size of the total moment is 0.000 μB/atom. For the energy, the calculation gives -6.62 eV/atom. Its density is 8.14 g/cm³. Its space-group type is No. 65. The value obtained for the uncorrected formation energy is 0.310 eV per atom.

---

[4]
VASP calculation (PBEsol) on a relaxed structure of BeSi2Os.

POSCAR file:
```
BeSi2Os
1.0
-2.733 2.361 0.095
-2.087 -2.480 1.597
3.527 1.214 2.393
Si Os Be
2 1 1
direct
0.999 0.001 0.000 Si
0.750 0.250 0.500 Si
0.250 0.750 0.500 Os
0.500 0.500 0.000 Be
```

## Properties
Its size of the total moment is 0.000 μB/atom. For the energy, the calculation gives -6.95 eV/atom. Its density is 8.99 g/cm³. Its space-group type is No. 119. The value obtained for the uncorrected formation energy is -0.025 eV per atom.

---

[5]
VASP calculation (PBEsol) on a relaxed structure of BeSi3Os.

POSCAR file:
```
BeSi3Os
1.0
-1.907 -2.383 2.720
2.839 0.918 2.795
-2.240 3.192 1.226
Si Be Os
3 1 1
direct
0.000 0.500 0.000 Si
0.000 0.000 0.500 Si
0.500 0.000 0.000 Si
0.000 0.000 0.000 Be
0.500 0.500 0.500 Os
```

## Properties
Its size of the total moment is 0.000 μB/atom. For the energy, the calculation gives -5.66 eV/atom. Its density is 6.89 g/cm³. Its space-group type is No. 221. The value obtained for the uncorrected formation energy is 1.034 eV per atom.

---

[6]
VASP calculation (PBEsol) on a relaxed structure of BeSi2Os.

POSCAR file:
```
BeSi2Os
1.0
2.816 0.000 0.000
1.408 2.439 0.000
1.408 0.813 7.369
Si Be Os
2 1 1
direct
0.248 0.248 0.255 Si
0.752 0.752 0.745 Si
0.500 0.500 0.500 Be
0.000 0.000 0.000 Os
```

## Properties
Its size of the total moment is 0.000 μB/atom. For the energy, the calculation gives -6.92 eV/atom. Its density is 8.38 g/cm³. Its space-group type is No. 166. The value obtained for the uncorrected formation energy is 0.006 eV per atom.

---

[7]
VASP calculation (PBEsol) on a relaxed structure of BeSi2Os.

POSCAR file:
```
BeSi2Os
1.0
2.889 0.000 0.000
0.000 4.227 -0.008
-1.444 -0.537 3.969
Si Os Be
2 1 1
direct
0.241 0.253 0.482 Si
0.759 0.747 0.518 Si
0.500 0.000 0.000 Os
0.000 0.500 0.000 Be
```

## Properties
Its size of the total moment is 0.000 μB/atom. For the energy, the calculation gives -7.06 eV/atom. Its density is 8.75 g/cm³. Its space-group type is No. 12. The value obtained for the uncorrected formation energy is -0.129 eV per atom.

---

[8]
VASP calculation (PBEsol) on a relaxed structure of Be2SiOs.

POSCAR file:
```
Be2SiOs
1.0
2.636 0.007 0.000
-1.099 2.396 0.000
0.000 0.000 7.479
Si Be Os
1 2 1
direct
0.500 0.500 0.000 Si
0.000 0.000 0.739 Be
0.000 0.000 0.261 Be
0.500 0.500 0.500 Os
```

## Properties
Its size of the total moment is 0.000 μB/atom. For the energy, the calculation gives -6.21 eV/atom. Its density is 8.30 g/cm³. Its space-group type is No. 65. The value obtained for the uncorrected formation energy is 0.276 eV per atom.

---

Number 1: calculated volume 15.520 Å³/atom. Number 2: calculated volume 12.781 Å³/atom. Number 3: calculated volume 13.026 Å³/atom. Number 4: calculated volume 11.798 Å³/atom. Number 5: calculated volume 13.666 Å³/atom. Number 6: calculated volume 12.655 Å³/atom. Number 7: calculated volume 12.113 Å³/atom. Number 8: calculated volume 11.824 Å³/atom.